Compound: Sr2LiPuO6
Source: Alexandria via LeMat-Bulk
Functional: PBE-GGA
Structure: optimized geometry

Cell and atoms, written as CIF:
```
data_Sr2LiPuO6
_cell_length_a 5.8248
_cell_length_b 5.9016
_cell_length_c 10.0167
_cell_angle_alpha 90.00
_cell_angle_beta 125.34
_cell_angle_gamma 90.00
_space_group_name_H-M_alt 'P 1 21/c 1'
_space_group_IT_number 14
_space_group_name_Hall '-P 2ybc'
loop_
_atom_site_label
_atom_site_fract_x
_atom_site_fract_y
_atom_site_fract_z
Sr1 0.2401 0.0420 0.2479
Li1 0.0000 0.0000 0.5000
Pu1 0.5000 0.0000 0.0000
O1 0.1849 0.1973 0.9621
O2 0.2611 0.7240 0.9561
O3 0.3394 0.0233 0.7608
```

Properties
The total energy is -7.584 eV per atom. The volume is 14.0 Å³ per atom. Its total magnetic moment is 0.100 μB per atom. The formation energy (no corrections) comes out at -2.648 eV/atom.


Compound: SrLi2PuO4
Source: Alexandria via LeMat-Bulk
Functional: PBE-GGA
Structure: optimized geometry

Cell and atoms, written as CIF:
```
data_SrLi2PuO4
_cell_length_a 4.5301
_cell_length_b 4.5301
_cell_length_c 11.4300
_cell_angle_alpha 90.00
_cell_angle_beta 90.00
_cell_angle_gamma 90.00
_space_group_name_H-M_alt 'I -4 m 2'
_space_group_IT_number 119
_space_group_name_Hall 'I -4 -2'
loop_
_atom_site_label
_atom_site_fract_x
_atom_site_fract_y
_atom_site_fract_z
Sr1 0.0000 0.0000 0.0000
Li1 0.0000 0.0000 0.5000
Li2 0.0000 0.5000 0.2500
Pu1 0.0000 0.5000 0.7500
O1 0.0000 0.0000 0.2379
O2 0.0000 0.5000 0.5589
```

Properties
The total energy is -7.429 eV per atom. The volume is 14.7 Å³ per atom. Its total magnetic moment is 0.500 μB per atom. The formation energy (no corrections) comes out at -2.470 eV/atom.


Compound: SrLi2PuO6
Source: Alexandria via LeMat-Bulk
Functional: PBE-GGA
Structure: optimized geometry

Cell and atoms, written as CIF:
```
data_SrLi2PuO6
_cell_length_a 5.3580
_cell_length_b 5.3580
_cell_length_c 17.1134
_cell_angle_alpha 90.00
_cell_angle_beta 90.00
_cell_angle_gamma 120.00
_space_group_name_H-M_alt 'R -3'
_space_group_IT_number 148
_space_group_name_Hall '-R 3'
loop_
_atom_site_label
_atom_site_fract_x
_atom_site_fract_y
_atom_site_fract_z
Sr1 0.0000 0.0000 0.0000
Li1 0.0000 0.0000 0.1872
Pu1 0.0000 0.0000 0.5000
O1 0.0114 0.6978 0.5635
```

Properties
The total energy is -7.245 eV per atom. The volume is 14.2 Å³ per atom. Its total magnetic moment is 0.000 μB per atom. The formation energy (no corrections) comes out at -2.286 eV/atom.


Compound: SrLi3Pu4O12
Source: Alexandria via LeMat-Bulk
Functional: PBE-GGA
Structure: optimized geometry

Cell and atoms, written as CIF:
```
data_SrLi3Pu4O12
_cell_length_a 8.1320
_cell_length_b 8.1320
_cell_length_c 8.1320
_cell_angle_alpha 90.00
_cell_angle_beta 90.00
_cell_angle_gamma 90.00
_space_group_name_H-M_alt 'I m -3'
_space_group_IT_number 204
_space_group_name_Hall '-I 2 2 3'
loop_
_atom_site_label
_atom_site_fract_x
_atom_site_fract_y
_atom_site_fract_z
Sr1 0.0000 0.0000 0.0000
Li1 0.0000 0.0000 0.5000
Pu1 0.2500 0.2500 0.2500
O1 0.0000 0.2986 0.1764
```

Properties
The total energy is -8.902 eV per atom. The volume is 13.4 Å³ per atom. Its total magnetic moment is 0.650 μB per atom. The formation energy (no corrections) comes out at -2.690 eV/atom.


Compound: SrLiPuO3
Source: Alexandria via LeMat-Bulk
Functional: PBE-GGA
Structure: optimized geometry

Cell and atoms, written as CIF:
```
data_SrLiPuO3
_cell_length_a 7.1700
_cell_length_b 3.4734
_cell_length_c 7.3106
_cell_angle_alpha 90.00
_cell_angle_beta 101.22
_cell_angle_gamma 90.00
_space_group_name_H-M_alt 'P 1 21/m 1'
_space_group_IT_number 11
_space_group_name_Hall '-P 2yb'
loop_
_atom_site_label
_atom_site_fract_x
_atom_site_fract_y
_atom_site_fract_z
Sr1 0.2238 0.2500 0.1805
Li1 0.4116 0.7500 0.9190
Pu1 0.1798 0.2500 0.6595
O1 0.1405 0.7500 0.8691
O2 0.1537 0.7500 0.4295
O3 0.4907 0.2500 0.8210
```

Properties
The total energy is -8.021 eV per atom. The volume is 14.9 Å³ per atom. Its total magnetic moment is 0.833 μB per atom. The formation energy (no corrections) comes out at -2.554 eV/atom.


Compound: Sr2Li2PuO6
Source: Alexandria via LeMat-Bulk
Functional: PBE-GGA
Structure: optimized geometry

Cell and atoms, written as CIF:
```
data_Sr2Li2PuO6
_cell_length_a 5.8810
_cell_length_b 5.8810
_cell_length_c 15.7776
_cell_angle_alpha 90.00
_cell_angle_beta 90.00
_cell_angle_gamma 120.00
_space_group_name_H-M_alt 'R -3 m'
_space_group_IT_number 166
_space_group_name_Hall '-R 3 2"'
loop_
_atom_site_label
_atom_site_fract_x
_atom_site_fract_y
_atom_site_fract_z
Sr1 0.0000 0.0000 0.2161
Li1 0.0000 0.0000 0.4237
Pu1 0.0000 0.0000 0.0000
O1 0.0210 0.5105 0.7503
```

Properties
The total energy is -7.130 eV per atom. The volume is 14.3 Å³ per atom. Its total magnetic moment is 0.182 μB per atom. The formation energy (no corrections) comes out at -2.469 eV/atom.


Compound: SrLiPuO5
Source: Alexandria via LeMat-Bulk
Functional: PBE-GGA
Structure: optimized geometry

Cell and atoms, written as CIF:
```
data_SrLiPuO5
_cell_length_a 7.1436
_cell_length_b 9.4878
_cell_length_c 8.0559
_cell_angle_alpha 90.00
_cell_angle_beta 115.72
_cell_angle_gamma 90.00
_space_group_name_H-M_alt 'C 1 2/c 1'
_space_group_IT_number 15
_space_group_name_Hall '-C 2yc'
loop_
_atom_site_label
_atom_site_fract_x
_atom_site_fract_y
_atom_site_fract_z
Sr1 0.0000 0.0758 0.2500
Li1 0.0000 0.4454 0.2500
Pu1 0.2500 0.2500 0.0000
O1 0.0000 0.1848 0.7500
O2 0.0566 0.2995 0.0981
O3 0.2453 0.0534 0.0839
```

Properties
The total energy is -7.879 eV per atom. The volume is 15.4 Å³ per atom. Its total magnetic moment is 0.125 μB per atom. The formation energy (no corrections) comes out at -2.539 eV/atom.


Compound: SrLiPu2O8
Source: Alexandria via LeMat-Bulk
Functional: PBE-GGA
Structure: optimized geometry

Cell and atoms, written as CIF:
```
data_SrLiPu2O8
_cell_length_a 5.1163
_cell_length_b 6.9289
_cell_length_c 5.1193
_cell_angle_alpha 90.00
_cell_angle_beta 94.16
_cell_angle_gamma 90.00
_space_group_name_H-M_alt 'P 1 2/m 1'
_space_group_IT_number 10
_space_group_name_Hall '-P 2y'
loop_
_atom_site_label
_atom_site_fract_x
_atom_site_fract_y
_atom_site_fract_z
Sr1 0.0000 0.0000 0.0000
Li1 0.0000 0.5000 0.0000
Pu1 0.5000 0.2564 0.5000
O1 0.2291 0.2677 0.2310
O2 0.3289 0.5000 0.6724
O3 0.3322 0.0000 0.6695
```

Properties
The total energy is -8.481 eV per atom. The volume is 15.1 Å³ per atom. Its total magnetic moment is 0.250 μB per atom. The formation energy (no corrections) comes out at -2.487 eV/atom.


Compound: Sr2Li3PuO6
Source: Alexandria via LeMat-Bulk
Functional: PBE-GGA
Structure: optimized geometry

Cell and atoms, written as CIF:
```
data_Sr2Li3PuO6
_cell_length_a 5.9235
_cell_length_b 11.1099
_cell_length_c 5.4006
_cell_angle_alpha 90.00
_cell_angle_beta 107.97
_cell_angle_gamma 90.00
_space_group_name_H-M_alt 'C 1 2/m 1'
_space_group_IT_number 12
_space_group_name_Hall '-C 2y'
loop_
_atom_site_label
_atom_site_fract_x
_atom_site_fract_y
_atom_site_fract_z
Sr1 0.0000 0.1711 0.0000
Li1 0.0000 0.0000 0.5000
Li2 0.0000 0.3874 0.5000
Pu1 0.0000 0.5000 0.0000
O1 0.2049 0.3617 0.2407
O2 0.2354 0.5000 0.7582
```

Properties
The total energy is -6.876 eV per atom. The volume is 14.1 Å³ per atom. Its total magnetic moment is 0.250 μB per atom. The formation energy (no corrections) comes out at -2.444 eV/atom.


Compound: Sr4LiPu3O12
Source: Alexandria via LeMat-Bulk
Functional: PBE-GGA
Structure: optimized geometry

Cell and atoms, written as CIF:
```
data_Sr4LiPu3O12
_cell_length_a 8.5271
_cell_length_b 8.5271
_cell_length_c 8.5271
_cell_angle_alpha 90.00
_cell_angle_beta 90.00
_cell_angle_gamma 90.00
_space_group_name_H-M_alt 'I m -3 m'
_space_group_IT_number 229
_space_group_name_Hall '-I 4 2 3'
loop_
_atom_site_label
_atom_site_fract_x
_atom_site_fract_y
_atom_site_fract_z
Sr1 0.2500 0.2500 0.2500
Li1 0.0000 0.0000 0.0000
Pu1 0.0000 0.0000 0.5000
O1 0.0000 0.0000 0.2622
O2 0.0000 0.2500 0.5000
```

Properties
The total energy is -8.309 eV per atom. The volume is 15.5 Å³ per atom. Its total magnetic moment is 0.450 μB per atom. The formation energy (no corrections) comes out at -2.753 eV/atom.


Compound: Li2PuTaO6
Source: Alexandria via LeMat-Bulk
Functional: PBE-GGA
Structure: optimized geometry

Cell and atoms, written as CIF:
```
data_Li2PuTaO6
_cell_length_a 5.3560
_cell_length_b 5.6488
_cell_length_c 9.5031
_cell_angle_alpha 90.00
_cell_angle_beta 124.25
_cell_angle_gamma 90.00
_space_group_name_H-M_alt 'P 1 21/c 1'
_space_group_IT_number 14
_space_group_name_Hall '-P 2ybc'
loop_
_atom_site_label
_atom_site_fract_x
_atom_site_fract_y
_atom_site_fract_z
Li1 0.2499 0.0169 0.2470
Pu1 0.0000 0.0000 0.5000
Ta1 0.5000 0.0000 0.0000
O1 0.1296 0.6803 0.4401
O2 0.2643 0.1980 0.4363
O3 0.3823 0.5353 0.2598
```

Properties
The total energy is -8.565 eV per atom. The volume is 11.9 Å³ per atom. Its total magnetic moment is 0.300 μB per atom. The formation energy (no corrections) comes out at -2.589 eV/atom.


Compound: Li4TbPu3O12
Source: Alexandria via LeMat-Bulk
Functional: PBE-GGA
Structure: optimized geometry

Cell and atoms, written as CIF:
```
data_Li4TbPu3O12
_cell_length_a 11.0306
_cell_length_b 11.0306
_cell_length_c 7.8186
_cell_angle_alpha 90.00
_cell_angle_beta 90.00
_cell_angle_gamma 120.00
_space_group_name_H-M_alt 'R 3 2'
_space_group_IT_number 155
_space_group_name_Hall 'R 3 2"'
loop_
_atom_site_label
_atom_site_fract_x
_atom_site_fract_y
_atom_site_fract_z
Li1 0.0000 0.0000 0.0000
Li2 0.0000 0.4368 0.0000
Tb1 0.0000 0.0000 0.5000
Pu1 0.0000 0.5558 0.5000
O1 0.0000 0.6062 0.0000
O2 0.0000 0.8356 0.0000
O3 0.0544 0.2046 0.6766
```

Properties
The total energy is -8.188 eV per atom. The volume is 13.7 Å³ per atom. Its total magnetic moment is 0.350 μB per atom. The formation energy (no corrections) comes out at -2.449 eV/atom.


Compound: LiTbPuO4
Source: Alexandria via LeMat-Bulk
Functional: PBE-GGA
Structure: optimized geometry

Cell and atoms, written as CIF:
```
data_LiTbPuO4
_cell_length_a 6.1092
_cell_length_b 9.6016
_cell_length_c 6.9855
_cell_angle_alpha 90.00
_cell_angle_beta 90.00
_cell_angle_gamma 90.00
_space_group_name_H-M_alt 'C m c m'
_space_group_IT_number 63
_space_group_name_Hall '-C 2c 2'
loop_
_atom_site_label
_atom_site_fract_x
_atom_site_fract_y
_atom_site_fract_z
Li1 0.0000 0.1556 0.2500
Tb1 0.0000 0.5000 0.0000
Pu1 0.0000 0.1599 0.7500
O1 0.0000 0.2625 0.0105
O2 0.2496 0.0013 0.2500
```

Properties
The total energy is -8.578 eV per atom. The volume is 14.6 Å³ per atom. Its total magnetic moment is 0.571 μB per atom. The formation energy (no corrections) comes out at -2.763 eV/atom.


Compound: LiTbPu2O8
Source: Alexandria via LeMat-Bulk
Functional: PBE-GGA
Structure: optimized geometry

Cell and atoms, written as CIF:
```
data_LiTbPu2O8
_cell_length_a 7.2892
_cell_length_b 7.2892
_cell_length_c 7.2204
_cell_angle_alpha 90.00
_cell_angle_beta 90.00
_cell_angle_gamma 90.00
_space_group_name_H-M_alt 'I -4 m 2'
_space_group_IT_number 119
_space_group_name_Hall 'I -4 -2'
loop_
_atom_site_label
_atom_site_fract_x
_atom_site_fract_y
_atom_site_fract_z
Li1 0.0000 0.0000 0.0000
Tb1 0.0000 0.5000 0.7500
Pu1 0.0000 0.0000 0.5000
Pu2 0.0000 0.5000 0.2500
O1 0.0000 0.1918 0.6904
O2 0.0000 0.3237 0.0458
```

Properties
The total energy is -8.448 eV per atom. The volume is 16.0 Å³ per atom. Its total magnetic moment is 0.333 μB per atom. The formation energy (no corrections) comes out at -2.209 eV/atom.


Compound: LiPuTcO6
Source: Alexandria via LeMat-Bulk
Functional: PBE-GGA
Structure: optimized geometry

Cell and atoms, written as CIF:
```
data_LiPuTcO6
_cell_length_a 5.3671
_cell_length_b 5.3671
_cell_length_c 9.3577
_cell_angle_alpha 90.00
_cell_angle_beta 90.00
_cell_angle_gamma 120.00
_space_group_name_H-M_alt 'P -3 1 c'
_space_group_IT_number 163
_space_group_name_Hall '-P 3 2c'
loop_
_atom_site_label
_atom_site_fract_x
_atom_site_fract_y
_atom_site_fract_z
Li1 0.0000 0.0000 0.0000
Pu1 0.3333 0.6667 0.2500
Tc1 0.3333 0.6667 0.7500
O1 0.0203 0.3696 0.6363
```

Properties
The total energy is -8.207 eV per atom. The volume is 13.0 Å³ per atom. Its total magnetic moment is 0.446 μB per atom. The formation energy (no corrections) comes out at -1.945 eV/atom.


Compound: Li2PuTcO6
Source: Alexandria via LeMat-Bulk
Functional: PBE-GGA
Structure: optimized geometry

Cell and atoms, written as CIF:
```
data_Li2PuTcO6
_cell_length_a 5.7642
_cell_length_b 5.7642
_cell_length_c 4.2172
_cell_angle_alpha 90.00
_cell_angle_beta 90.00
_cell_angle_gamma 90.00
_space_group_name_H-M_alt 'P 4 m m'
_space_group_IT_number 99
_space_group_name_Hall 'P 4 -2'
loop_
_atom_site_label
_atom_site_fract_x
_atom_site_fract_y
_atom_site_fract_z
Li1 0.0000 0.5000 0.0000
Pu1 0.0000 0.0000 0.8390
Tc1 0.5000 0.5000 0.7695
O1 0.0000 0.0000 0.3422
O2 0.2673 0.2673 0.8784
O3 0.5000 0.5000 0.3648
```

Properties
The total energy is -7.824 eV per atom. The volume is 14.0 Å³ per atom. Its total magnetic moment is 0.307 μB per atom. The formation energy (no corrections) comes out at -1.997 eV/atom.


Compound: LiPu2TeO2
Source: Alexandria via LeMat-Bulk
Functional: PBE-GGA
Structure: optimized geometry

Cell and atoms, written as CIF:
```
data_LiPu2TeO2
_cell_length_a 4.2837
_cell_length_b 4.0612
_cell_length_c 13.3207
_cell_angle_alpha 90.00
_cell_angle_beta 90.00
_cell_angle_gamma 90.00
_space_group_name_H-M_alt 'A m m 2'
_space_group_IT_number 38
_space_group_name_Hall 'A 2 -2'
loop_
_atom_site_label
_atom_site_fract_x
_atom_site_fract_y
_atom_site_fract_z
Li1 0.0000 0.0000 0.0000
Pu1 0.0000 0.0000 0.7378
Pu2 0.5000 0.0000 0.3975
Te1 0.5000 0.0000 0.1033
O1 0.0000 0.0000 0.3325
O2 0.5000 0.0000 0.8175
```

Properties
The polymorph energy (0 for the lowest one) is 0.000 eV/atom. The total energy is -9.297 eV per atom. The volume is 19.3 Å³ per atom. Its total magnetic moment is 1.834 μB per atom. The formation energy (no corrections) comes out at -2.024 eV/atom.


Compound: Li2PuTeO6
Source: Alexandria via LeMat-Bulk
Functional: PBE-GGA
Structure: optimized geometry

Cell and atoms, written as CIF:
```
data_Li2PuTeO6
_cell_length_a 5.9464
_cell_length_b 5.9464
_cell_length_c 4.1046
_cell_angle_alpha 90.00
_cell_angle_beta 90.00
_cell_angle_gamma 90.00
_space_group_name_H-M_alt 'P 4 m m'
_space_group_IT_number 99
_space_group_name_Hall 'P 4 -2'
loop_
_atom_site_label
_atom_site_fract_x
_atom_site_fract_y
_atom_site_fract_z
Li1 0.0000 0.5000 0.0000
Pu1 0.0000 0.0000 0.8513
Te1 0.5000 0.5000 0.8460
O1 0.0000 0.0000 0.3552
O2 0.2553 0.2553 0.8855
O3 0.5000 0.5000 0.3680
```

Properties
The total energy is -6.930 eV per atom. The volume is 14.5 Å³ per atom. Its total magnetic moment is 0.301 μB per atom. The formation energy (no corrections) comes out at -1.825 eV/atom.


Compound: LiPu2TeO2
Source: Alexandria via LeMat-Bulk
Functional: PBE-GGA
Structure: optimized geometry

Cell and atoms, written as CIF:
```
data_LiPu2TeO2
_cell_length_a 4.0168
_cell_length_b 4.0168
_cell_length_c 16.0394
_cell_angle_alpha 90.00
_cell_angle_beta 90.00
_cell_angle_gamma 90.00
_space_group_name_H-M_alt 'I 4/m m m'
_space_group_IT_number 139
_space_group_name_Hall '-I 4 2'
loop_
_atom_site_label
_atom_site_fract_x
_atom_site_fract_y
_atom_site_fract_z
Li1 0.0000 0.0000 0.0000
Pu1 0.0000 0.0000 0.1805
Te1 0.0000 0.0000 0.5000
O1 0.0000 0.5000 0.2500
```

Properties
The polymorph energy (0 for the lowest one) is 0.132 eV/atom. The total energy is -9.165 eV per atom. The volume is 21.6 Å³ per atom. Its total magnetic moment is 1.833 μB per atom. The formation energy (no corrections) comes out at -1.892 eV/atom.